Computed, not measured: a geometry-optimized ReAs2Br structure at the PBE-GGA level of DFT.

Calculated values
The value obtained for the excess energy over the best structure of this formula in the dataset is 847 meV per atom. Its crystal system is orthorhombic. The value obtained for the uncorrected formation energy is 4.0 eV/f.u. For the spin magnetization, the calculation gives 0.000 μB/atom. The total energy is -19.5 eV/cell. As for the density: 9.477 Mg/m³.

a b c (Å): 5.0417 5.0417 3.2371
angles (deg): 90.00 90.00 117.65
Fractional coordinates of all 4 atoms:
1 As 0.0000 0.0000 0.0000
2 As 0.5000 0.5000 0.0000
3 Re 0.0000 0.5000 0.5000
4 Br 0.5000 0.0000 0.5000